<i>
## Ce4Co2Pt (PBE)

Data for a relaxed structure of Ce4Co2Pt.

a = 7.5746 Å, b = 7.5746 Å, c = 7.5746 Å
α = 109.41°, β = 109.41°, γ = 109.60°
Fractional positions:
Ce 0.2067 0.2705 0.5637
Ce 0.2067 0.6430 0.9363
Ce 0.2705 0.2067 0.0637
Ce 0.3570 0.7933 0.5637
Ce 0.6430 0.2067 0.4363
Ce 0.7295 0.7933 0.9363
Ce 0.7933 0.3570 0.0637
Ce 0.7933 0.7295 0.4363
Co 0.0000 0.5000 0.5000
Co 0.5000 0.0000 0.0000
Co 0.5000 0.5000 0.0000
Co 0.5000 0.5000 0.5000
Pt 0.1250 0.8750 0.2500
Pt 0.8750 0.1250 0.7500

Output
Total magnetic moment (μB per cell): 2.005
V (Å³/cell): 334.54
Theoretical density (g cm⁻³): 8.7

=====

<ii>
## Ce4Co2Pt (PBE)

Data for a relaxed structure of Ce4Co2Pt.

a = 7.9883 Å, b = 7.9883 Å, c = 6.6599 Å
α = 107.50°, β = 107.50°, γ = 117.97°
Fractional positions:
Ce 0.0218 0.9782 0.5000
Ce 0.1389 0.6902 0.8283
Ce 0.4073 0.5555 0.1263
Ce 0.4940 0.9189 0.6600
Ce 0.5555 0.4073 0.6263
Ce 0.6902 0.1389 0.3283
Ce 0.9189 0.4940 0.1600
Ce 0.9782 0.0218 0.0000
Co 0.2466 0.9054 0.2594
Co 0.5882 0.7619 0.9724
Co 0.7619 0.5882 0.4724
Co 0.9054 0.2466 0.7594
Pt 0.1884 0.4163 0.4954
Pt 0.4163 0.1884 0.9954

Output
Total magnetic moment (μB per cell): 0.878
V (Å³/cell): 304.78
Theoretical density (g cm⁻³): 9.5

=====

Ranked by calculated energy, most stable first: <ii>, <i>.